# 1
Li3Ca3Bi2Sb | PBE-GGA | optimized geometry

Output
The raw formation energy comes out at -842 meV per atom. The calculation puts the total energy at -3.47 eV/atom. For the mass density, the calculation gives 4.8 g/cm3.

Lattice parameters (Å, degrees): 7.6951 7.6951 4.6365 90.00 90.00 120.00
Last column: nearest neighbours and their distance in Å.
Space group P-62m (No. 189)
Symmetry-distinct sites (fractional):
Li  0.0000  0.7686  0.0000 x3  2 Sb 2.92, 2 Bi 3.03, 2 Li 3.08
Ca  0.0000  0.4199  0.5000 x3  1 Sb 3.23, 4 Bi 3.27, 2 Li 3.55
Bi  0.3333  0.6667  0.0000 x2  3 Li 3.03, 6 Ca 3.27
Sb  0.0000  0.0000  0.5000 x1  6 Li 2.92, 3 Ca 3.23

# 2
LiCaBiSb2 | PBE-GGA | optimized geometry

Output
The raw formation energy comes out at 433 meV per atom. The calculation puts the total energy at -2.77 eV/atom. For the mass density, the calculation gives 4.8 g/cm3.

Lattice parameters (Å, degrees): 5.7305 5.7305 5.2456 90.00 90.00 90.00
Last column: nearest neighbours and their distance in Å.
Space group P4/mmm (No. 123)
Symmetry-distinct sites (fractional):
Li  0.0000  0.0000  0.0000 x1  2 Ca 2.62
Ca  0.0000  0.0000  0.5000 x1  2 Li 2.62, 4 Sb 2.87
Bi  0.5000  0.5000  0.0000 x1  8 Sb 3.88, 4 Li 4.05
Sb  0.0000  0.5000  0.5000 x2  2 Ca 2.87

# 3
LiCaBi2Se4 | PBE-GGA | optimized geometry

Output
The raw formation energy comes out at -826 meV per atom. The calculation puts the total energy at -4.03 eV/atom. For the mass density, the calculation gives 6.0 g/cm3.

Lattice parameters (Å, degrees): 7.0513 4.4711 7.3197 90.00 110.80 90.00
Last column: nearest neighbours and their distance in Å.
Space group P2/m (No. 10)
Symmetry-distinct sites (fractional):
Li  0.0000  0.0000  0.0000 x1  6 Se 2.93-3.02
Ca  0.0000  0.5000  0.5000 x1  6 Se 2.97-3.03
Bi  0.5000  0.0000  0.5000 x1  6 Se 2.99-3.04
Bi  0.5000  0.5000  0.0000 x1  6 Se 2.95-3.02
Se  0.2480  0.0000  0.7534 x2  1 Li 2.93, 3 Bi 2.99-3.02, 2 Ca 3.03
Se  0.2493  0.5000  0.2474 x2  3 Bi 2.95-3.04, 1 Ca 2.97, 2 Li 3.02

# 4
LiCa2BiSe4 | PBE-GGA | optimized geometry

Output
The raw formation energy comes out at -1331 meV per atom. The calculation puts the total energy at -4.30 eV/atom. For the mass density, the calculation gives 4.9 g/cm3.

Lattice parameters (Å, degrees): 7.2047 4.1991 7.2049 90.00 108.77 90.00
Last column: nearest neighbours and their distance in Å.
Space group P2/m (No. 10)
Symmetry-distinct sites (fractional):
Li  0.0000  0.0000  0.0000 x1  6 Se 2.86-2.95
Ca  0.0000  0.5000  0.5000 x1  6 Se 2.93-2.97
Ca  0.5000  0.0000  0.5000 x1  6 Se 2.98-3.00
Bi  0.5000  0.5000  0.0000 x1  6 Se 2.93-2.96
Se  0.2450  0.0000  0.7569 x2  1 Li 2.86, 2 Bi 2.96, 3 Ca 2.97-3.00
Se  0.2472  0.5000  0.2472 x2  1 Bi 2.93, 3 Ca 2.93-2.98, 2 Li 2.95